A plane-wave DFT calculation with GGA-PBE was carried out for crystalline NaYMgRu2 at its relaxed geometry.

Energy of formation, eV/atom: 1.133

a = 4.7997 Å, b = 4.4316 Å, c = 4.7997 Å
α = 90.00°, β = 90.00°, γ = 90.00°
Closest atoms and distances in Å follow each position.
Fractional coordinates of all 5 atoms:
1 Y 0.5000 0.5000 0.5000  8 Ru 3.27, 4 Mg 3.39
2 Mg 0.0000 0.5000 0.0000  2 Na 2.22
3 Na 0.0000 0.0000 0.0000  2 Mg 2.22, 4 Ru 2.40
4 Ru 0.0000 0.0000 0.5000  2 Na 2.40
5 Ru 0.5000 0.0000 0.0000  2 Na 2.40



A plane-wave DFT calculation with GGA-PBE was carried out for crystalline NaYMg2Ru at its relaxed geometry.

Energy of formation, eV/atom: 0.075

a = 5.2063 Å, b = 5.2063 Å, c = 5.1346 Å
α = 90.00°, β = 90.00°, γ = 90.00°
Closest atoms and distances in Å follow each position.
Fractional coordinates of all 5 atoms:
1 Y 0.0000 0.0000 0.5000  2 Ru 2.57
2 Na 0.5000 0.5000 0.5000  8 Mg 3.66, 4 Y 3.68
3 Ru 0.0000 0.0000 0.0000  2 Y 2.57, 4 Mg 2.60
4 Mg 0.0000 0.5000 0.0000  2 Ru 2.60
5 Mg 0.5000 0.0000 0.0000  2 Ru 2.60



A plane-wave DFT calculation with GGA-PBE was carried out for crystalline NaY2MgRu at its relaxed geometry.

Energy of formation, eV/atom: -0.013

a = 5.3145 Å, b = 5.3145 Å, c = 5.3152 Å
α = 90.00°, β = 90.00°, γ = 90.00°
Closest atoms and distances in Å follow each position.
Fractional coordinates of all 5 atoms:
1 Na 0.5000 0.5000 0.5000  4 Mg 3.76, 8 Y 3.76
2 Ru 0.0000 0.0000 0.0000  4 Y 2.66, 2 Mg 2.66
3 Mg 0.0000 0.0000 0.5000  2 Ru 2.66
4 Y 0.5000 0.0000 0.0000  2 Ru 2.66
5 Y 0.0000 0.5000 0.0000  2 Ru 2.66



A plane-wave DFT calculation with GGA-PBE was carried out for crystalline Na2Mg2S3 at its relaxed geometry.

Raw formation energy, eV/atom: -1.2961

a = 7.0162 Å, b = 10.1621 Å, c = 10.1621 Å
α = 81.81°, β = 69.35°, γ = 69.35°
Closest atoms and distances in Å follow each position.
Fractional coordinates of all 28 atoms:
1 Na 0.9414 0.0064 0.1778  4 S 2.76-2.86
2 Na 0.2500 0.7195 0.2805  6 S 2.97-3.01, 2 Na 3.25
3 S 0.2188 0.4348 0.2847  3 Mg 2.47-2.50
4 Mg 0.1062 0.5550 0.0818  4 S 2.43-2.51
5 Mg 0.8938 0.4450 0.9182  4 S 2.43-2.51
6 Mg 0.3829 0.6337 0.7826  4 S 2.44-2.50
7 S 0.3113 0.0036 0.2287  2 Mg 2.43-2.44
8 S 0.7221 0.5810 0.1410  3 Mg 2.47-2.51
9 Mg 0.6171 0.3663 0.2174  4 S 2.44-2.50
10 S 0.7188 0.2847 0.4348  3 Mg 2.47-2.50
11 S 0.8113 0.2287 0.0036  2 Mg 2.43-2.44
12 Na 0.5586 0.8222 0.9936  4 S 2.76-2.86
13 S 0.1887 0.7713 0.9964  2 Mg 2.43-2.44
14 Na 0.2500 0.4268 0.5732  6 S 2.97-3.00
15 Na 0.0586 0.9936 0.8222  4 S 2.76-2.86
16 S 0.2812 0.7153 0.5652  3 Mg 2.47-2.50
17 Na 0.7500 0.5732 0.4268  6 S 2.97-3.00
18 S 0.7812 0.5652 0.7153  3 Mg 2.47-2.50
19 S 0.7779 0.8590 0.4190  3 Mg 2.47-2.51
20 Mg 0.8829 0.7826 0.6337  4 S 2.44-2.50
21 Na 0.7500 0.2805 0.7195  6 S 2.97-3.01, 2 Na 3.25
22 S 0.2779 0.4190 0.8590  3 Mg 2.47-2.51
23 Na 0.4414 0.1778 0.0064  4 S 2.76-2.86
24 Mg 0.3938 0.9182 0.4450  4 S 2.43-2.51
25 Mg 0.6062 0.0818 0.5550  4 S 2.43-2.51
26 S 0.6887 0.9964 0.7713  2 Mg 2.43-2.44
27 Mg 0.1171 0.2174 0.3663  4 S 2.44-2.50
28 S 0.2221 0.1410 0.5810  3 Mg 2.47-2.51



A plane-wave DFT calculation with GGA-PBE was carried out for crystalline NaMgS3 at its relaxed geometry.

Raw formation energy, eV/atom: 0.4701
Energy relative to the lowest polymorph listed for this composition, eV per atom: 0.708

a = 4.8967 Å, b = 4.8967 Å, c = 4.8967 Å
α = 90.00°, β = 90.00°, γ = 90.00°
Closest atoms and distances in Å follow each position.
Fractional coordinates of all 5 atoms:
1 Mg 0.5000 0.5000 0.5000  12 S 3.46
2 S 0.0000 0.5000 0.0000  2 Na 2.45
3 S 0.5000 0.0000 0.0000  2 Na 2.45
4 S 0.0000 0.0000 0.5000  2 Na 2.45
5 Na 0.0000 0.0000 0.0000  6 S 2.45



A plane-wave DFT calculation with GGA-PBE was carried out for crystalline NaMg3S at its relaxed geometry.

Raw formation energy, eV/atom: -0.0961
Energy relative to the lowest polymorph listed for this composition, eV per atom: 0.000

a = 5.0679 Å, b = 5.0679 Å, c = 5.0679 Å
α = 90.00°, β = 90.00°, γ = 90.00°
Closest atoms and distances in Å follow each position.
Fractional coordinates of all 5 atoms:
1 Mg 0.0000 0.5000 0.0000  2 S 2.53
2 Na 0.5000 0.5000 0.5000  12 Mg 3.58
3 S 0.0000 0.0000 0.0000  6 Mg 2.53
4 Mg 0.0000 0.0000 0.5000  2 S 2.53
5 Mg 0.5000 0.0000 0.0000  2 S 2.53



What did we get for DOS(E_F)? Answer: 6.78 3.11 2.59 0.00 3.71 3.91 states/eV per cell, in the order shown.